1.
{
  "formula": "YZnOs",
  "functional": "PBE",
  "state": "relaxed",
  "volume_a3_per_cell": 61.1,
  "e_tot_ev_per_cell": -18.13,
  "total_magnetization_mub_per_cell": 0.0,
  "cell": [[-3.5719, 0.7375, -2.4986], [-4.0329, -0.1719, 1.8032], [-2.3429, 3.7110, 0.5334]],
  "species": ["Os", "Y", "Zn"],
  "fractional_positions": [[0.0000, 0.0000, 0.0000], [0.5000, 0.5000, 0.5000], [0.2500, 0.2500, 0.2500]]
}



2.
{
  "formula": "HfGa3Tc",
  "functional": "PBE",
  "state": "relaxed",
  "volume_a3_per_cell": 103.5,
  "e_above_lowest_polymorph_mev_per_atom": 378,
  "e_tot_ev_per_cell": -27.32,
  "total_magnetization_mub_per_cell": 0.0,
  "cell": [[4.6953, 0.0000, 0.0000], [0.0000, 4.6953, 0.0000], [0.0000, 0.0000, 4.6953]],
  "species": ["Hf", "Tc", "Ga", "Ga", "Ga"],
  "fractional_positions": [[0.5000, 0.5000, 0.5000], [0.0000, 0.0000, 0.0000], [0.0000, 0.5000, 0.0000], [0.0000, 0.0000, 0.5000], [0.5000, 0.0000, 0.0000]]
}



3.
{
  "formula": "GaSn",
  "functional": "PBE",
  "state": "relaxed",
  "volume_a3_per_cell": 94.4,
  "e_tot_ev_per_cell": -13.83,
  "total_magnetization_mub_per_cell": 0.0,
  "cell": [[-0.5687, 0.7240, -2.9813], [-4.3792, -2.9856, 0.1103], [-3.0431, 4.5286, 1.6797]],
  "species": ["Ga", "Ga", "Sn", "Sn"],
  "fractional_positions": [[0.3390, 0.2219, 0.2034], [0.8388, 0.7239, 0.7040], [0.8356, 0.7218, 0.2040], [0.3356, 0.2236, 0.7035]]
}



4.
{
  "formula": "MgAl3Ni4",
  "functional": "PBE",
  "state": "relaxed",
  "volume_a3_per_cell": 100.1,
  "e_tot_ev_per_cell": -40.28,
  "total_magnetization_mub_per_cell": 0.0,
  "cell": [[3.9625, 0.0000, 1.1697], [1.8086, 3.5257, 1.1697], [0.0346, 0.0211, 7.1796]],
  "species": ["Ni", "Ni", "Ni", "Ni", "Mg", "Al", "Al", "Al"],
  "fractional_positions": [[0.8718, 0.8718, 0.3846], [0.3790, 0.3790, 0.8631], [0.1282, 0.1282, 0.6154], [0.6210, 0.6210, 0.1369], [0.0000, 0.0000, 0.0000], [0.2507, 0.2507, 0.2480], [0.7493, 0.7493, 0.7520], [0.5000, 0.5000, 0.5000]]
}



5.
{
  "formula": "KPrN",
  "functional": "PBE",
  "state": "relaxed",
  "volume_a3_per_cell": 364.3,
  "e_tot_ev_per_cell": -64.69,
  "total_magnetization_mub_per_cell": 0.0,
  "formation_energy_uncorrected_ev_per_atom": -0.657,
  "cell": [[-3.1527, 1.8456, 0.6252], [-1.7870, -2.2642, -2.3272], [-5.5605, -16.3246, 20.1525]],
  "species": ["N", "N", "N", "N", "K", "K", "K", "K", "Pr", "Pr", "Pr", "Pr"],
  "fractional_positions": [[0.2292, 0.7500, 0.7913], [0.2708, 0.7500, 0.2913], [0.7708, 0.2500, 0.2087], [0.7292, 0.2500, 0.7087], [0.7340, 0.2500, 0.5743], [0.7660, 0.2500, 0.0743], [0.2660, 0.7500, 0.4257], [0.2340, 0.7500, 0.9257], [0.2292, 0.7500, 0.7035], [0.2708, 0.7500, 0.2035], [0.7708, 0.2500, 0.2965], [0.7292, 0.2500, 0.7965]]
}



6.
{
  "formula": "Ni2Ir5Rh2",
  "functional": "PBE",
  "state": "relaxed",
  "volume_a3_per_cell": 124.2,
  "e_tot_ev_per_cell": -70.36,
  "total_magnetization_mub_per_cell": 0.0,
  "cell": [[-2.2044, -2.9635, -0.8899], [4.3913, -4.9181, -2.6097], [2.0459, -4.8444, 2.9548]],
  "species": ["Ni", "Ni", "Ir", "Ir", "Ir", "Ir", "Ir", "Rh", "Rh"],
  "fractional_positions": [[0.4432, 0.3263, 0.7873], [0.5568, 0.6737, 0.2127], [0.3360, 0.9956, 0.3324], [0.6640, 0.0044, 0.6676], [0.2233, 0.6701, 0.8832], [0.7767, 0.3299, 0.1168], [0.0000, 0.0000, 0.0000], [0.1106, 0.3396, 0.4393], [0.8894, 0.6605, 0.5607]]
}